A plane-wave DFT calculation with GGA-PBE was carried out for NpFeCoAs2 after structural relaxation.

Results
**Total DFT energy (no corrections)**: -7.9436 eV/atom
**E_form**: -0.38 eV/atom

Structure (POSCAR):
```
NpFeCoAs2
1.0
-1.849 0.551 -3.326
-2.437 -2.839 0.885
-1.140 4.715 3.637
Np Fe Co As
1 1 1 2
direct
0.000 0.000 0.000
0.750 0.250 0.500
0.250 0.750 0.500
0.632 0.632 0.264
0.368 0.368 0.736
```

---

A plane-wave DFT calculation with GGA-PBE was carried out for Np2FeCo3As4 after structural relaxation.

Results
**Total DFT energy (no corrections)**: -7.8600 eV/atom
**E_form**: -0.43 eV/atom

Structure (POSCAR):
```
Np2FeCo3As4
1.0
-2.356 -2.398 -2.445
0.504 -3.178 2.632
-7.464 2.635 4.609
Np Fe Co As
2 1 3 4
direct
0.500 0.000 0.257
0.000 0.500 0.743
0.500 0.500 0.500
0.000 0.000 0.500
0.500 0.000 0.886
0.000 0.500 0.114
0.500 0.500 0.000
0.000 0.000 0.000
0.500 0.000 0.636
0.000 0.500 0.364
```